(1)
Below is an optimized crystal structure of PaGa3Pt3, with properties calculated at the PBE-GGA level. Values from VASP.

Cell and atoms, written as Quantum ESPRESSO input:
```
&SYSTEM
  ibrav = 0, nat = 14, ntyp = 3
/
ATOMIC_SPECIES
Pt 195.08 Pt.upf
Pa 231.04 Pa.upf
Ga 69.72 Ga.upf
CELL_PARAMETERS angstrom
-2.201 4.443 -4.674
-1.107 -5.126 -4.351
-6.353 -0.647 2.378
ATOMIC_POSITIONS angstrom
Pt -2.204 0.769 -5.681
Pt -1.104 -1.452 -3.344
Pt -5.865 1.737 -0.554
Pt -2.689 2.060 -1.743
Pt -4.007 -4.168 -2.075
Pt -3.453 -1.605 0.101
Pa 0.000 0.000 0.000
Pa -4.831 -0.665 -3.324
Ga -1.931 -1.623 -5.600
Ga -4.827 3.009 -2.317
Ga -1.377 0.940 -3.425
Ga -2.142 -2.724 -1.581
Ga -5.318 -3.048 -0.392
Ga -3.727 0.787 0.020
```

Output
**Symmetry**: No. 223
**Formation energy**: -0.1438 eV/atom
**DFT total energy**: -5.39 eV per atom

---

(2)
Below is an optimized crystal structure of La2MgTlO, with properties calculated at the PBE-GGA level. Values from VASP.

Cell and atoms, written as Quantum ESPRESSO input:
```
&SYSTEM
  ibrav = 0, nat = 5, ntyp = 4
/
ATOMIC_SPECIES
La 138.91 La.upf
O 16.00 O.upf
Tl 204.38 Tl.upf
Mg 24.30 Mg.upf
CELL_PARAMETERS angstrom
5.107 0.000 0.000
0.000 5.107 0.000
0.000 0.000 4.606
ATOMIC_POSITIONS angstrom
La 2.554 0.000 0.000
La 0.000 2.554 0.000
O 0.000 0.000 0.000
Tl 2.554 2.554 2.303
Mg 0.000 0.000 2.303
```

Output
**Uncorrected formation energy**: -122 kJ per mole of atoms
**Symmetry**: No. 123
**DFT total energy**: -5.02 eV per atom

---

(3)
Below is an optimized crystal structure of LiCa3Ag3, with properties calculated at the PBE-GGA level. Values from VASP.

Cell and atoms, written as Quantum ESPRESSO input:
```
&SYSTEM
  ibrav = 0, nat = 14, ntyp = 3
/
ATOMIC_SPECIES
Ca 40.08 Ca.upf
Li 6.94 Li.upf
Ag 107.87 Ag.upf
CELL_PARAMETERS angstrom
-1.017 0.050 -4.232
-6.011 -0.847 -0.804
-3.039 14.294 -1.340
ATOMIC_POSITIONS angstrom
Ca -5.637 4.920 -3.064
Ca -4.930 12.962 -3.139
Ca -4.430 8.577 -3.311
Ca -5.137 0.534 -3.236
Ca -2.518 3.069 -1.597
Ca -7.549 10.428 -4.778
Li -2.367 5.837 -3.839
Li -7.701 7.660 -2.536
Ag -6.837 7.276 -4.986
Ag -3.231 6.221 -1.389
Ag -3.337 10.783 -1.310
Ag -2.027 1.031 -3.977
Ag -8.041 12.466 -2.398
Ag -6.731 2.713 -5.065
```

Output
**Symmetry**: No. 12
**Formation energy**: -0.2819 eV/atom
**DFT total energy**: -2.64 eV per atom

---

(4)
Below is an optimized crystal structure of HoEr6Tm2, with properties calculated at the PBE-GGA level. Values from VASP.

Cell and atoms, written as Quantum ESPRESSO input:
```
&SYSTEM
  ibrav = 0, nat = 9, ntyp = 3
/
ATOMIC_SPECIES
Er 167.26 Er.upf
Ho 164.93 Ho.upf
Tm 168.93 Tm.upf
CELL_PARAMETERS angstrom
6.886 0.000 0.000
3.443 5.963 0.000
3.443 1.988 7.393
ATOMIC_POSITIONS angstrom
Er 1.682 0.970 2.422
Er 5.189 2.997 4.961
Er 5.205 0.971 2.422
Er 6.886 5.934 4.961
Er 3.442 4.022 2.422
Er 8.581 2.996 4.961
Ho 6.886 3.975 7.387
Tm 6.886 3.975 1.875
Tm 10.329 5.963 5.575
```

Output
**Symmetry**: No. 160
**Formation energy**: 0.4058 eV/atom
**DFT total energy**: -4.14 eV per atom

---

Question: Among the records above, which one has the highest DFT total energy?
Answer: LiCa3Ag3

---

Question: What is the DFT total energy in the second record?
Answer: -5.02 eV per atom

---

Question: Which value of DFT total energy does entry 3 give?
Answer: -2.64 eV per atom

---

Question: Look up the DFT total energy of the first one.
Answer: -5.39 eV per atom